DFT (PBE+U) results for an optimized crystal structure of VBrF2.

electronic total energy: -15.81 eV per formula unit
SG: Fm-3m (225)
excess energy over the best structure of this formula in the dataset: 1074 meV per atom

Structure (extended XYZ):
```
16
Lattice="6.1345 0.0000 0.0000 0.0000 6.1345 0.0000 0.0000 0.0000 6.1345" Properties=species:S:1:pos:R:3 pbc="T T T"
V 0.0000 0.0000 0.0000
V 0.0000 3.0672 3.0672
V 3.0672 0.0000 3.0672
V 3.0672 3.0672 0.0000
Br 0.0000 0.0000 3.0672
Br 0.0000 3.0672 0.0000
Br 3.0672 0.0000 0.0000
Br 3.0672 3.0672 3.0672
F 1.5336 1.5336 1.5336
F 1.5336 1.5336 4.6009
F 1.5336 4.6009 1.5336
F 1.5336 4.6009 4.6009
F 4.6009 1.5336 1.5336
F 4.6009 1.5336 4.6009
F 4.6009 4.6009 1.5336
F 4.6009 4.6009 4.6009
```